(one)
Compound: MnAgSe
Source: Alexandria via LeMat-Bulk
Functional: PBE-GGA
Structure: relaxed

Its size of the total moment is 2.0 μB/cell.

Cell lengths 3.1361, 3.1361, 6.3479 Å; angles 90.00, 90.00, 120.00 degrees
Space group P3m1 (No. 156)
Asymmetric unit:
Mn1 0.0000 0.0000 0.0000 [1 per cell]
Ag1 0.6667 0.3333 0.6673 [1 per cell]
Se1 0.6667 0.3333 0.2325 [1 per cell]

(two)
Compound: MnAgSe
Source: Alexandria via LeMat-Bulk
Functional: PBE-GGA
Structure: relaxed

Its size of the total moment is 15.2 μB/cell.

Cell lengths 5.122, 5.085, 8.653 Å; angles 90.00, 97.96, 90.00 degrees
Space group Cm (No. 8)
Asymmetric unit:
Mn1 0.000 0.000 0.000 [2 per cell]
Mn2 0.033 0.500 0.196 [2 per cell]
Ag1 0.061 0.000 0.323 [2 per cell]
Ag2 0.083 0.000 0.663 [2 per cell]
Se1 0.092 0.500 0.486 [2 per cell]
Se2 0.478 0.000 0.910 [2 per cell]

(three)
Compound: MnAgSe
Source: Alexandria via LeMat-Bulk
Functional: PBE-GGA
Structure: relaxed

Its size of the total moment is 17.1 μB/cell.

Cell lengths 4.096, 9.725, 6.037 Å; angles 90.00, 90.00, 90.00 degrees
Space group Ama2 (No. 40)
Asymmetric unit:
Mn1 0.250 0.111 0.000 [4 per cell]
Ag1 0.250 0.400 0.828 [4 per cell]
Se1 0.250 0.333 0.265 [4 per cell]

Which one sits at the bottom of the stability order? (one) does.

(one)
Compound: MnAgSe
Source: Alexandria via LeMat-Bulk
Functional: PBE-GGA
Structure: relaxed

Its size of the total moment is 4.0 μB/cell.

Cell lengths 3.4766, 3.4766, 5.6812 Å; angles 90.00, 90.00, 120.00 degrees
Space group P3m1 (No. 156)
Asymmetric unit:
Mn1 0.0000 0.0000 0.0000 [1 per cell]
Ag1 0.3333 0.6667 0.6600 [1 per cell]
Se1 0.6667 0.3333 0.2636 [1 per cell]

(two)
Compound: MnAgSe
Source: Alexandria via LeMat-Bulk
Functional: PBE-GGA
Structure: relaxed

Its size of the total moment is 16.9 μB/cell.

Cell lengths 8.028, 3.444, 9.132 Å; angles 90.00, 91.85, 90.00 degrees
Space group Cm (No. 8)
Asymmetric unit:
Mn1 0.000 0.000 0.000 [2 per cell]
Mn2 0.144 0.000 0.656 [2 per cell]
Ag1 0.214 0.500 0.361 [2 per cell]
Ag2 0.430 0.000 0.519 [2 per cell]
Se1 0.187 0.500 0.865 [2 per cell]
Se2 0.433 0.000 0.185 [2 per cell]

Which one sits at the bottom of the stability order? (one) does.

(one)
Compound: MnAgSe
Source: Alexandria via LeMat-Bulk
Functional: PBE-GGA
Structure: relaxed

Its size of the total moment is 16.8 μB/cell.

Cell lengths 6.249, 6.249, 6.249 Å; angles 90.00, 90.00, 90.00 degrees
Space group F-43m (No. 216)
Asymmetric unit:
Mn1 0.000 0.000 0.000 [4 per cell]
Ag1 0.250 0.250 0.750 [4 per cell]
Se1 0.250 0.250 0.250 [4 per cell]

(two)
Compound: MnAgSe
Source: Alexandria via LeMat-Bulk
Functional: PBE-GGA
Structure: relaxed

Its size of the total moment is 7.4 μB/cell.

Cell lengths 3.338, 4.619, 8.394 Å; angles 89.99, 78.79, 89.99 degrees
Space group P-1 (No. 2)
Asymmetric unit:
Mn1 0.063 0.252 0.371 [2 per cell]
Ag1 0.429 0.248 0.645 [2 per cell]
Se1 0.333 0.747 0.841 [2 per cell]

Which one sits at the bottom of the stability order? (one) does.

(one)
Compound: MnAgSe
Source: Alexandria via LeMat-Bulk
Functional: PBE-GGA
Structure: relaxed

Its size of the total moment is 7.5 μB/cell.

Cell lengths 3.191, 3.191, 10.814 Å; angles 90.00, 90.00, 90.00 degrees
Space group I4mm (No. 107)
Asymmetric unit:
Mn1 0.000 0.000 0.000 [2 per cell]
Ag1 0.000 0.000 0.328 [2 per cell]
Se1 0.000 0.000 0.621 [2 per cell]

(two)
Compound: MnAgSe
Source: Alexandria via LeMat-Bulk
Functional: PBE-GGA
Structure: relaxed

Its size of the total moment is 4.4 μB/cell.

Cell lengths 5.513, 3.169, 6.549 Å; angles 90.00, 106.15, 90.00 degrees
Space group Pm (No. 6)
Asymmetric unit:
Mn1 0.000 0.000 0.000 [1 per cell]
Mn2 0.438 0.500 0.009 [1 per cell]
Ag1 0.019 0.500 0.654 [1 per cell]
Ag2 0.533 0.000 0.696 [1 per cell]
Se1 0.387 0.000 0.260 [1 per cell]
Se2 0.869 0.500 0.215 [1 per cell]

Which one sits at the bottom of the stability order? (one) does.

(one)
Compound: MnAgSe
Source: Alexandria via LeMat-Bulk
Functional: PBE-GGA
Structure: relaxed

Its size of the total moment is 0.0 μB/cell.

Cell lengths 2.969, 4.119, 10.693 Å; angles 81.93, 89.95, 68.90 degrees
Space group P1 (No. 1)
Asymmetric unit:
Mn1 0.000 0.000 0.000 [1 per cell]
Mn2 0.037 0.923 0.182 [1 per cell]
Ag1 0.176 0.650 0.673 [1 per cell]
Ag2 0.428 0.148 0.510 [1 per cell]
Se1 0.274 0.452 0.927 [1 per cell]
Se2 0.342 0.314 0.255 [1 per cell]

(two)
Compound: MnAgSe
Source: Alexandria via LeMat-Bulk
Functional: PBE-GGA
Structure: relaxed

Its size of the total moment is 7.3 μB/cell.

Cell lengths 3.1891, 3.1891, 18.8874 Å; angles 90.00, 90.00, 120.00 degrees
Space group R3m (No. 160, hexagonal axes)
Asymmetric unit:
Mn1 0.0000 0.0000 0.0000 [3 per cell]
Ag1 0.0000 0.0000 0.5574 [3 per cell]
Se1 0.0000 0.0000 0.4122 [3 per cell]

Which one sits at the bottom of the stability order? (one) does.

(one)
Compound: MnAg3Se
Source: Alexandria via LeMat-Bulk
Functional: PBE-GGA
Structure: relaxed

Its size of the total moment is 4.2 μB/cell.

Cell lengths 4.947, 4.947, 4.947 Å; angles 90.00, 90.00, 90.00 degrees
Space group Pm-3m (No. 221)
Asymmetric unit:
Mn1 0.000 0.000 0.000 [1 per cell]
Ag1 0.000 0.000 0.500 [3 per cell]
Se1 0.500 0.500 0.500 [1 per cell]

(two)
Compound: MnAg3Se
Source: Alexandria via LeMat-Bulk
Functional: PBE-GGA
Structure: relaxed

Its size of the total moment is 4.6 μB/cell.

Cell lengths 5.055, 5.055, 5.055 Å; angles 90.00, 90.00, 90.00 degrees
Space group Pm-3m (No. 221)
Asymmetric unit:
Mn1 0.000 0.000 0.000 [1 per cell]
Ag1 0.000 0.500 0.500 [3 per cell]
Se1 0.500 0.500 0.500 [1 per cell]

Which one sits at the bottom of the stability order? (one) does.

(one)
Compound: MnAg2Se2
Source: Alexandria via LeMat-Bulk
Functional: PBE-GGA
Structure: relaxed

Its size of the total moment is 9.3 μB/cell.

Cell lengths 3.883, 3.883, 14.256 Å; angles 90.00, 90.00, 90.00 degrees
Space group I4/mmm (No. 139)
Asymmetric unit:
Mn1 0.000 0.000 0.000 [2 per cell]
Ag1 0.000 0.000 0.407 [4 per cell]
Se1 0.000 0.500 0.250 [4 per cell]

(two)
Compound: MnAg2Se2
Source: Alexandria via LeMat-Bulk
Functional: PBE-GGA
Structure: relaxed

Its size of the total moment is 9.7 μB/cell.

Cell lengths 7.391, 7.391, 3.695 Å; angles 90.00, 90.00, 90.00 degrees
Space group P4/mbm (No. 127)
Asymmetric unit:
Mn1 0.000 0.000 0.000 [2 per cell]
Ag1 0.131 0.369 0.000 [4 per cell]
Se1 0.181 0.681 0.500 [4 per cell]

Which one sits at the bottom of the stability order? (one) does.

(one)
Compound: Mn2AgSe2
Source: Alexandria via LeMat-Bulk
Functional: PBE-GGA
Structure: relaxed

Its size of the total moment is 8.0 μB/cell.

Cell lengths 3.594, 3.594, 14.071 Å; angles 90.00, 90.00, 90.00 degrees
Space group I4/mmm (No. 139)
Asymmetric unit:
Mn1 0.000 0.500 0.250 [4 per cell]
Ag1 0.000 0.000 0.000 [2 per cell]
Se1 0.000 0.000 0.366 [4 per cell]

(two)
Compound: Mn2AgSe2
Source: Alexandria via LeMat-Bulk
Functional: PBE-GGA
Structure: relaxed

Its size of the total moment is 16.5 μB/cell.

Cell lengths 7.352, 7.352, 3.406 Å; angles 90.00, 90.00, 90.00 degrees
Space group P4/mbm (No. 127)
Asymmetric unit:
Mn1 0.139 0.361 0.000 [4 per cell]
Ag1 0.000 0.000 0.500 [2 per cell]
Se1 0.160 0.660 0.500 [4 per cell]

Which one sits at the bottom of the stability order? (two) does.

(one)
Compound: Mn2AgSe4
Source: Alexandria via LeMat-Bulk
Functional: PBE-GGA
Structure: relaxed

Its size of the total moment is 7.0 μB/cell.

Cell lengths 6.321, 3.681, 6.607 Å; angles 90.00, 92.12, 90.00 degrees
Space group P2/m (No. 10)
Asymmetric unit:
Mn1 0.000 0.000 0.000 [1 per cell]
Mn2 0.500 0.500 0.000 [1 per cell]
Ag1 0.000 0.000 0.500 [1 per cell]
Se1 0.174 0.500 0.218 [2 per cell]
Se2 0.326 0.000 0.791 [2 per cell]

(two)
Compound: Mn2AgSe4
Source: Alexandria via LeMat-Bulk
Functional: PBE-GGA
Structure: relaxed

Its size of the total moment is 56.0 μB/cell.

Cell lengths 10.740, 10.771, 10.813 Å; angles 90.00, 90.00, 90.00 degrees
Space group Fddd (No. 70, origin choice 2)
Asymmetric unit:
Mn1 0.000 0.000 0.000 [16 per cell]
Ag1 0.125 0.125 0.625 [8 per cell]
Se1 0.013 0.014 0.236 [32 per cell]

Which one sits at the bottom of the stability order? (one) does.

(one)
Compound: MnSi2TcAg
Source: Alexandria via LeMat-Bulk
Functional: PBE-GGA
Structure: relaxed

Its size of the total moment is 7.2 μB/cell.

Cell lengths 4.641, 4.641, 4.854 Å; angles 90.00, 90.00, 90.00 degrees
Space group P4/mmm (No. 123)
Asymmetric unit:
Mn1 0.000 0.000 0.000 [1 per cell]
Si1 0.000 0.500 0.500 [2 per cell]
Tc1 0.500 0.500 0.000 [1 per cell]
Ag1 0.000 0.000 0.500 [1 per cell]

(two)
Compound: MnSi2TcAg
Source: Alexandria via LeMat-Bulk
Functional: PBE-GGA
Structure: relaxed

Its size of the total moment is 4.6 μB/cell.

Cell lengths 4.287, 4.287, 4.924 Å; angles 90.00, 90.00, 90.00 degrees
Space group P4/mmm (No. 123)
Asymmetric unit:
Mn1 0.000 0.000 0.000 [1 per cell]
Si1 0.000 0.500 0.000 [2 per cell]
Tc1 0.500 0.500 0.500 [1 per cell]
Ag1 0.000 0.000 0.500 [1 per cell]

Which one sits at the bottom of the stability order? (one) does.

(one)
Compound: MnAgSn2
Source: Alexandria via LeMat-Bulk
Functional: PBE-GGA
Structure: relaxed

Its size of the total moment is 0.0 μB/cell.

Cell lengths 6.715, 6.715, 6.715 Å; angles 90.00, 90.00, 90.00 degrees
Space group Fm-3m (No. 225)
Asymmetric unit:
Mn1 0.000 0.000 0.000 [4 per cell]
Ag1 0.000 0.000 0.500 [4 per cell]
Sn1 0.250 0.250 0.250 [8 per cell]

(two)
Compound: MnAgSn2
Source: Alexandria via LeMat-Bulk
Functional: PBE-GGA
Structure: relaxed

Its size of the total moment is 9.2 μB/cell.

Cell lengths 3.2271, 3.2271, 29.1029 Å; angles 90.00, 90.00, 120.00 degrees
Space group R-3m (No. 166, hexagonal axes)
Asymmetric unit:
Mn1 0.0000 0.0000 0.0000 [3 per cell]
Ag1 0.0000 0.0000 0.5000 [3 per cell]
Sn1 0.0000 0.0000 0.4062 [6 per cell]

(three)
Compound: MnAgSn2
Source: Alexandria via LeMat-Bulk
Functional: PBE-GGA
Structure: relaxed

Its size of the total moment is 15.5 μB/cell.

Cell lengths 4.484, 4.484, 18.426 Å; angles 90.00, 90.00, 90.00 degrees
Space group I-42d (No. 122)
Asymmetric unit:
Mn1 0.000 0.000 0.000 [4 per cell]
Ag1 0.000 0.000 0.500 [4 per cell]
Sn1 0.241 0.250 0.125 [8 per cell]

(four)
Compound: MnAgSn2
Source: Alexandria via LeMat-Bulk
Functional: PBE-GGA
Structure: relaxed

Its size of the total moment is 3.7 μB/cell.

Cell lengths 5.115, 5.115, 3.200 Å; angles 90.00, 90.00, 90.00 degrees
Space group P4/mmm (No. 123)
Asymmetric unit:
Mn1 0.000 0.000 0.000 [1 per cell]
Ag1 0.500 0.500 0.000 [1 per cell]
Sn1 0.000 0.500 0.500 [2 per cell]

Which one sits at the bottom of the stability order? (one) does.

(one)
Compound: SrMn2Ag2
Source: Alexandria via LeMat-Bulk
Functional: PBE-GGA
Structure: relaxed

Its size of the total moment is 0.0 μB/cell.

Cell lengths 3.217, 3.217, 18.715 Å; angles 90.00, 90.00, 90.00 degrees
Space group I4/mmm (No. 139)
Asymmetric unit:
Sr1 0.000 0.000 0.000 [2 per cell]
Mn1 0.000 0.500 0.250 [4 per cell]
Ag1 0.000 0.000 0.371 [4 per cell]

(two)
Compound: SrMn2Ag2
Source: Alexandria via LeMat-Bulk
Functional: PBE-GGA
Structure: relaxed

Its size of the total moment is 16.5 μB/cell.

Cell lengths 8.117, 8.117, 3.221 Å; angles 90.00, 90.00, 90.00 degrees
Space group P4/mbm (No. 127)
Asymmetric unit:
Sr1 0.000 0.000 0.000 [2 per cell]
Mn1 0.152 0.348 0.500 [4 per cell]
Ag1 0.135 0.635 0.000 [4 per cell]

Which one sits at the bottom of the stability order? (one) does.